Computed, not measured: a geometry-optimized Tl2In12Pb5 structure at the PBE level of DFT.

## Properties
**D(E_F)**: 8.28 states/eV/f.u.
**Electronic total energy**: -55.460 eV for the cell shown
**E_form**: 36 meV per atom
**Space group**: No. 12
**Total magnetic moment**: 0.00 μB per formula unit

a b c (Å): 9.651 9.651 6.424
angles (deg): 96.40 96.40 68.92
Positions (direct):
Tl 0.236 0.764 0.000
Tl 0.764 0.236 0.000
In 0.056 0.056 0.306
In 0.061 0.535 0.800
In 0.138 0.659 0.408
In 0.341 0.862 0.592
In 0.394 0.394 0.988
In 0.465 0.939 0.200
In 0.535 0.061 0.800
In 0.606 0.606 0.012
In 0.659 0.138 0.408
In 0.862 0.341 0.592
In 0.939 0.465 0.200
In 0.944 0.944 0.694
Pb 0.168 0.168 0.892
Pb 0.278 0.278 0.427
Pb 0.500 0.500 0.500
Pb 0.722 0.722 0.573
Pb 0.832 0.832 0.108